Entry 1:
First-principles (PBE) data for an optimized crystal structure of Er3ScCd4, as listed in the Alexandria database.

**Raw total energy**: -3.2653 eV/atom

Geometry as CIF:
```
data_Er3ScCd4
_chemical_formula_sum 'Er3 Sc1 Cd4'
_cell_length_a 3.6630
_cell_length_b 3.6630
_cell_length_c 14.7387
_cell_angle_alpha 90.00
_cell_angle_beta 90.00
_cell_angle_gamma 90.00
_symmetry_space_group_name_H-M 'P 4/m m m'
_symmetry_Int_Tables_number 123
_symmetry_space_group_name_Hall '-P 4 2'
loop_
_atom_site_label
_atom_site_type_symbol
_atom_site_fract_x
_atom_site_fract_y
_atom_site_fract_z
_atom_site_occupancy
Er1 Er 0.0000 0.0000 0.0000 1
Er2 Er 0.0000 0.0000 0.2560 1
Sc1 Sc 0.0000 0.0000 0.5000 1
Cd1 Cd 0.5000 0.5000 0.1278 1
Cd2 Cd 0.5000 0.5000 0.3866 1
```

Entry 2:
First-principles (PBE) data for an optimized crystal structure of Er5Sc4Cd2, as listed in the Alexandria database.

**Raw total energy**: -4.4452 eV/atom

Geometry as CIF:
```
data_Er5Sc4Cd2
_chemical_formula_sum 'Er10 Sc8 Cd4'
_cell_length_a 3.4303
_cell_length_b 8.7401
_cell_length_c 20.8625
_cell_angle_alpha 90.00
_cell_angle_beta 90.00
_cell_angle_gamma 90.00
_symmetry_space_group_name_H-M 'I m m m'
_symmetry_Int_Tables_number 71
_symmetry_space_group_name_Hall '-I 2 2'
loop_
_atom_site_label
_atom_site_type_symbol
_atom_site_fract_x
_atom_site_fract_y
_atom_site_fract_z
_atom_site_occupancy
Er1 Er 0.0000 0.0000 0.0000 1
Er2 Er 0.0000 0.2934 0.3497 1
Sc1 Sc 0.0000 0.1835 0.5000 1
Sc2 Sc 0.0000 0.5000 0.0943 1
Cd1 Cd 0.0000 0.5000 0.2288 1
```

Entry 3:
First-principles (PBE) data for an optimized crystal structure of Er3Sc4Cd2, as listed in the Alexandria database.

**Raw total energy**: -4.6157 eV/atom

Geometry as CIF:
```
data_Er3Sc4Cd2
_chemical_formula_sum 'Er6 Sc8 Cd4'
_cell_length_a 13.8714
_cell_length_b 4.5886
_cell_length_c 7.5620
_cell_angle_alpha 90.00
_cell_angle_beta 107.89
_cell_angle_gamma 90.00
_symmetry_space_group_name_H-M 'C 1 2/m 1'
_symmetry_Int_Tables_number 12
loop_
_symmetry_equiv_pos_as_xyz
'x,y,z'
'-x,-y,-z'
'-x,y,-z'
'x,-y,z'
'x+1/2,y+1/2,z'
'-x+1/2,-y+1/2,-z'
'-x+1/2,y+1/2,-z'
'x+1/2,-y+1/2,z'
loop_
_atom_site_label
_atom_site_type_symbol
_atom_site_fract_x
_atom_site_fract_y
_atom_site_fract_z
_atom_site_occupancy
Er1 Er 0.0000 0.0000 0.0000 1
Er2 Er 0.1139 0.0000 0.6650 1
Sc1 Sc 0.0604 0.5000 0.3355 1
Sc2 Sc 0.2206 0.0000 0.3301 1
Cd1 Cd 0.1687 0.5000 0.0021 1
```

Entry 4:
First-principles (PBE) data for an optimized crystal structure of ErSc5Cd3, as listed in the Alexandria database.

**Raw total energy**: -4.5083 eV/atom

Geometry as CIF:
```
data_ErSc5Cd3
_chemical_formula_sum 'Er2 Sc10 Cd6'
_cell_length_a 8.6930
_cell_length_b 8.6930
_cell_length_c 6.5171
_cell_angle_alpha 90.00
_cell_angle_beta 90.00
_cell_angle_gamma 120.00
_symmetry_space_group_name_H-M 'P 63/m c m'
_symmetry_Int_Tables_number 193
_symmetry_space_group_name_Hall '-P 6c 2'
loop_
_atom_site_label
_atom_site_type_symbol
_atom_site_fract_x
_atom_site_fract_y
_atom_site_fract_z
_atom_site_occupancy
Er1 Er 0.0000 0.0000 0.0000 1
Sc1 Sc 0.0000 0.3389 0.2500 1
Sc2 Sc 0.3333 0.6667 0.0000 1
Cd1 Cd 0.0000 0.3332 0.7500 1
```

Entry 5:
First-principles (PBE) data for an optimized crystal structure of ErSc4Cd5, as listed in the Alexandria database.

**Raw total energy**: -3.7400 eV/atom

Geometry as CIF:
```
data_ErSc4Cd5
_chemical_formula_sum 'Er1 Sc4 Cd5'
_cell_length_a 3.5671
_cell_length_b 3.5671
_cell_length_c 17.9239
_cell_angle_alpha 90.00
_cell_angle_beta 90.00
_cell_angle_gamma 90.00
_symmetry_space_group_name_H-M 'P 4/m m m'
_symmetry_Int_Tables_number 123
_symmetry_space_group_name_Hall '-P 4 2'
loop_
_atom_site_label
_atom_site_type_symbol
_atom_site_fract_x
_atom_site_fract_y
_atom_site_fract_z
_atom_site_occupancy
Er1 Er 0.0000 0.0000 0.0000 1
Sc1 Sc 0.0000 0.0000 0.2069 1
Sc2 Sc 0.0000 0.0000 0.4024 1
Cd1 Cd 0.5000 0.5000 0.1105 1
Cd2 Cd 0.5000 0.5000 0.3046 1
Cd3 Cd 0.5000 0.5000 0.5000 1
```

Entry 6:
First-principles (PBE) data for an optimized crystal structure of ErScCd4, as listed in the Alexandria database.

**Raw total energy**: -2.6876 eV/atom

Geometry as CIF:
```
data_ErScCd4
_chemical_formula_sum 'Er1 Sc1 Cd4'
_cell_length_a 3.3104
_cell_length_b 4.9170
_cell_length_c 8.5123
_cell_angle_alpha 90.00
_cell_angle_beta 90.00
_cell_angle_gamma 90.00
_symmetry_space_group_name_H-M 'P m m m'
_symmetry_Int_Tables_number 47
loop_
_symmetry_equiv_pos_as_xyz
'x,y,z'
'-x,-y,-z'
'-x,-y,z'
'x,y,-z'
'x,-y,-z'
'-x,y,z'
'-x,y,-z'
'x,-y,z'
loop_
_atom_site_label
_atom_site_type_symbol
_atom_site_fract_x
_atom_site_fract_y
_atom_site_fract_z
_atom_site_occupancy
Er1 Er 0.0000 0.0000 0.0000 1
Sc1 Sc 0.0000 0.5000 0.5000 1
Cd1 Cd 0.5000 0.0000 0.3365 1
Cd2 Cd 0.5000 0.5000 0.1708 1
```

Entry 7:
First-principles (PBE) data for an optimized crystal structure of Er3Sc2Cd, as listed in the Alexandria database.

**Raw total energy**: -4.6143 eV/atom

Geometry as CIF:
```
data_Er3Sc2Cd
_chemical_formula_sum 'Er3 Sc2 Cd1'
_cell_length_a 3.4746
_cell_length_b 3.4746
_cell_length_c 13.3878
_cell_angle_alpha 90.00
_cell_angle_beta 90.00
_cell_angle_gamma 90.00
_symmetry_space_group_name_H-M 'P 4/m m m'
_symmetry_Int_Tables_number 123
_symmetry_space_group_name_Hall '-P 4 2'
loop_
_atom_site_label
_atom_site_type_symbol
_atom_site_fract_x
_atom_site_fract_y
_atom_site_fract_z
_atom_site_occupancy
Er1 Er 0.0000 0.0000 0.0000 1
Er2 Er 0.0000 0.0000 0.3417 1
Sc1 Sc 0.5000 0.5000 0.1701 1
Cd1 Cd 0.5000 0.5000 0.5000 1
```

Entry 8:
First-principles (PBE) data for an optimized crystal structure of Er3Sc7Cd, as listed in the Alexandria database.

**Raw total energy**: -5.1766 eV/atom

Geometry as CIF:
```
data_Er3Sc7Cd
_chemical_formula_sum 'Er3 Sc7 Cd1'
_cell_length_a 6.5324
_cell_length_b 6.5324
_cell_length_c 8.0939
_cell_angle_alpha 90.00
_cell_angle_beta 90.00
_cell_angle_gamma 120.00
_symmetry_space_group_name_H-M 'P 3 m 1'
_symmetry_Int_Tables_number 156
loop_
_symmetry_equiv_pos_as_xyz
'x,y,z'
'-y,x-y,z'
'-x+y,-x,z'
'-y,-x,z'
'-x+y,y,z'
'x,x-y,z'
loop_
_atom_site_label
_atom_site_type_symbol
_atom_site_fract_x
_atom_site_fract_y
_atom_site_fract_z
_atom_site_occupancy
Er1 Er 0.1681 0.3361 0.0000 1
Sc1 Sc 0.0083 0.5041 0.3487 1
Sc2 Sc 0.3333 0.6667 0.6680 1
Sc3 Sc 0.3335 0.1668 0.6601 1
Cd1 Cd 0.0000 0.0000 0.3476 1
```

Entry 9:
First-principles (PBE) data for an optimized crystal structure of Er3ScCd, as listed in the Alexandria database.

**Raw total energy**: -4.2086 eV/atom

Geometry as CIF:
```
data_Er3ScCd
_chemical_formula_sum 'Er12 Sc4 Cd4'
_cell_length_a 21.3395
_cell_length_b 3.4322
_cell_length_c 8.0186
_cell_angle_alpha 90.00
_cell_angle_beta 107.45
_cell_angle_gamma 90.00
_symmetry_space_group_name_H-M 'C 1 2/m 1'
_symmetry_Int_Tables_number 12
loop_
_symmetry_equiv_pos_as_xyz
'x,y,z'
'-x,-y,-z'
'-x,y,-z'
'x,-y,z'
'x+1/2,y+1/2,z'
'-x+1/2,-y+1/2,-z'
'-x+1/2,y+1/2,-z'
'x+1/2,-y+1/2,z'
loop_
_atom_site_label
_atom_site_type_symbol
_atom_site_fract_x
_atom_site_fract_y
_atom_site_fract_z
_atom_site_occupancy
Er1 Er 0.0149 0.0000 0.2261 1
Er2 Er 0.1238 0.5000 0.0445 1
Er3 Er 0.1772 0.0000 0.4442 1
Sc1 Sc 0.2324 0.5000 0.8218 1
Cd1 Cd 0.0792 0.5000 0.6027 1
```

Entry 10:
First-principles (PBE) data for an optimized crystal structure of Er2ScCd, as listed in the Alexandria database.

**Raw total energy**: -3.8978 eV/atom

Geometry as CIF:
```
data_Er2ScCd
_chemical_formula_sum 'Er6 Sc3 Cd3'
_cell_length_a 3.3416
_cell_length_b 3.3416
_cell_length_c 34.8636
_cell_angle_alpha 90.00
_cell_angle_beta 90.00
_cell_angle_gamma 120.00
_symmetry_space_group_name_H-M 'R -3 m'
_symmetry_Int_Tables_number 166
_symmetry_space_group_name_Hall '-R 3 2"'
loop_
_atom_site_label
_atom_site_type_symbol
_atom_site_fract_x
_atom_site_fract_y
_atom_site_fract_z
_atom_site_occupancy
Er1 Er 0.0000 0.0000 0.0920 1
Sc1 Sc 0.0000 0.0000 0.0000 1
Cd1 Cd 0.0000 0.0000 0.5000 1
```

Entry 11:
First-principles (PBE) data for an optimized crystal structure of Er2ScCd, as listed in the Alexandria database.

**Raw total energy**: -4.1301 eV/atom

Geometry as CIF:
```
data_Er2ScCd
_chemical_formula_sum 'Er8 Sc4 Cd4'
_cell_length_a 7.4958
_cell_length_b 7.4958
_cell_length_c 7.4958
_cell_angle_alpha 90.00
_cell_angle_beta 90.00
_cell_angle_gamma 90.00
_symmetry_space_group_name_H-M 'F m -3 m'
_symmetry_Int_Tables_number 225
_symmetry_space_group_name_Hall '-F 4 2 3'
loop_
_atom_site_label
_atom_site_type_symbol
_atom_site_fract_x
_atom_site_fract_y
_atom_site_fract_z
_atom_site_occupancy
Er1 Er 0.2500 0.2500 0.2500 1
Sc1 Sc 0.0000 0.0000 0.0000 1
Cd1 Cd 0.0000 0.0000 0.5000 1
```

Entry 12:
First-principles (PBE) data for an optimized crystal structure of Er3Sc7Cd2, as listed in the Alexandria database.

**Raw total energy**: -4.9784 eV/atom

Geometry as CIF:
```
data_Er3Sc7Cd2
_chemical_formula_sum 'Er3 Sc7 Cd2'
_cell_length_a 5.3067
_cell_length_b 3.3851
_cell_length_c 17.2473
_cell_angle_alpha 90.00
_cell_angle_beta 94.34
_cell_angle_gamma 90.00
_symmetry_space_group_name_H-M 'P 1 2/m 1'
_symmetry_Int_Tables_number 10
loop_
_symmetry_equiv_pos_as_xyz
'x,y,z'
'-x,-y,-z'
'-x,y,-z'
'x,-y,z'
loop_
_atom_site_label
_atom_site_type_symbol
_atom_site_fract_x
_atom_site_fract_y
_atom_site_fract_z
_atom_site_occupancy
Er1 Er 0.0000 0.0000 0.0000 1
Er2 Er 0.2821 0.5000 0.6346 1
Sc1 Sc 0.1883 0.5000 0.1513 1
Sc2 Sc 0.2402 0.0000 0.4611 1
Sc3 Sc 0.3118 0.0000 0.8348 1
Sc4 Sc 0.5000 0.5000 0.0000 1
Cd1 Cd 0.2000 0.0000 0.2916 1
```

Number 1: total magnetization 0.0 μB/f.u., E_form -0.305 eV per atom. Number 2: total magnetization 0.0 μB/f.u., E_form 0.098 eV per atom. Number 3: total magnetization 0.0 μB/f.u., E_form -0.077 eV per atom. Number 4: total magnetization 0.0 μB/f.u., E_form -0.179 eV per atom. Number 5: total magnetization 0.0 μB/f.u., E_form -0.294 eV per atom. Number 6: total magnetization 0.0 μB/f.u., E_form -0.262 eV per atom. Number 7: total magnetization 0.0 μB/f.u., E_form -0.070 eV per atom. Number 8: total magnetization 0.0 μB/f.u., E_form 0.180 eV per atom. Number 9: total magnetization 0.0 μB/f.u., E_form -0.022 eV per atom. Number 10: total magnetization 0.9 μB/f.u., E_form 0.195 eV per atom. Number 11: total magnetization 0.1 μB/f.u., E_form -0.037 eV per atom. Number 12: total magnetization 0.0 μB/f.u., E_form 0.008 eV per atom.